--- a ---
Computed, not measured: a crystal of Te2WCl relaxed with PBEsol at the SCAN level of DFT.

```
Te2WCl
1.0
-1.9824 -2.2278 1.8657
1.4380 -1.8734 2.6070
-1.9907 4.7745 6.9022
Te W Cl
2 1 1
Cartesian
-0.6901 0.3596 3.0123
-1.8450 0.3136 8.3626
-1.2676 0.3366 5.6875
0.0000 0.0000 0.0000
```

Summary:
SG   R-3m (166)
N(E_F)   0.5404 states/eV per atom

--- b ---
Computed, not measured: a crystal of Te2WCl relaxed with PBEsol at the SCAN level of DFT.

```
Te2WCl
1.0
-3.9436 0.1218 -1.5577
-1.0041 -3.4375 2.2734
-1.3591 2.8184 3.6613
Te W Cl
2 1 1
Cartesian
-1.9718 0.0609 -0.7788
-0.5021 -1.7188 1.1367
-3.1534 -0.2486 2.1885
-0.6796 1.4092 1.8307
```

Summary:
SG   P4/mmm (123)
N(E_F)   0.5203 states/eV per atom

Result of the stability comparison: b is the least stable of them.